The following is a DFT calculation (PBE) of a relaxed PmGa2Ru3 crystal.

Formation energy ... -316.5 meV/atom
Space group ... P6/mmm

Unit cell a=4.0204 b=5.5018 c=5.5017 alpha=119.99 beta=90.00 gamma=90.00
Fractional coordinates of all 6 atoms:
Ru 0.5000 0.5013 0.0000
Ru 0.5000 0.5013 0.5000
Ru 0.5000 0.0012 0.5000
Ga 0.0000 0.6679 0.3334
Ga 0.0000 0.3345 0.6667
Pm 0.0000 0.0012 0.0000